Entry 1:
The following is a PBE calculation of a geometry-optimized Sr2TmReN4 structure, from Alexandria.

The structure in POSCAR format:
```
Sr2TmReN4
1.0
5.6413 -0.0325 -0.0498
-2.4331 5.0897 0.0498
-2.4332 -2.0027 4.6794
N Sr Tm Re
4 2 1 1
direct
0.4243 0.8282 0.7617
0.0665 0.2383 0.6626
0.5757 0.3374 0.4039
0.9335 0.5961 0.1718
0.5000 0.7500 0.2500
0.0000 0.0000 0.0000
0.5000 0.2500 0.7500
0.0000 0.5000 0.5000
```

Raw formation energy: -0.783 eV/atom
Calculated volume: 133.7 Å³/cell

***

Entry 2:
The following is a PBE calculation of a geometry-optimized AgAs2Pd8 structure, from Alexandria.

The structure in POSCAR format:
```
AgAs2Pd8
1.0
-4.3105 -1.3680 -0.3464
2.8067 -4.1891 -4.4095
1.1958 -1.8330 6.3309
Pd Ag As
8 1 2
direct
0.6802 0.3834 0.3834
0.5000 0.2442 0.7558
0.0940 0.0706 0.3219
0.3198 0.6166 0.6166
0.5000 0.7558 0.2442
0.9060 0.9294 0.6781
0.9060 0.6781 0.9294
0.0940 0.3219 0.0706
0.5000 0.0000 0.0000
0.0000 0.6793 0.3207
0.0000 0.3207 0.6793
```

Calculated volume: 180.7 Å³/cell

***

Entry 3:
The following is a PBE calculation of a geometry-optimized Mg4Cu3Pd structure, from Alexandria.

The structure in POSCAR format:
```
Mg4Cu3Pd
1.0
4.3855 0.0000 0.0000
0.0000 6.5805 0.0000
0.0000 0.0000 8.7703
Mg Pd Cu
8 2 6
direct
0.5000 0.2495 0.5000
0.9999 0.2495 0.2500
0.5000 0.2495 0.0000
0.0001 0.7505 0.7500
0.5000 0.7505 0.5000
0.5000 0.7505 0.0000
0.9999 0.7505 0.2500
0.0001 0.2495 0.7500
0.0000 0.5000 0.5000
0.0000 0.5000 0.0000
0.4999 0.5000 0.2500
0.0000 0.0000 0.0000
0.4999 0.0000 0.2500
0.0000 0.0000 0.5000
0.5001 0.5000 0.7500
0.5001 0.0000 0.7500
```

Calculated volume: 253.1 Å³/cell

***

Entry 4:
The following is a PBE calculation of a geometry-optimized Rb2NaSb2 structure, from Alexandria.

The structure in POSCAR format:
```
Rb2NaSb2
1.0
-6.5434 4.2316 -3.2986
-2.9458 -7.1815 -3.3692
-3.0559 -0.9929 4.7883
Rb Sb Na
4 4 2
direct
0.8276 0.3276 0.5000
0.1724 0.6724 0.5000
0.3276 0.1724 0.5000
0.6724 0.8276 0.5000
0.1186 0.3814 0.0000
0.6186 0.1186 0.0000
0.3814 0.8814 0.0000
0.8814 0.6186 0.0000
0.0000 0.0000 0.0000
0.5000 0.5000 0.0000
```

Raw formation energy: -0.333 eV/atom
Calculated volume: 412.9 Å³/cell
Distance to the lowest polymorph of the same formula: 0.018 eV/atom

***

Entry 5:
The following is a PBE calculation of a geometry-optimized PRu structure, from Alexandria.

The structure in POSCAR format:
```
PRu
1.0
-1.3758 1.2157 3.5567
-3.2392 -0.5930 2.2753
-0.8574 -1.6334 3.5522
Ru P
1 1
direct
0.5000 0.5000 0.5000
0.0000 0.0000 0.0000
```

Calculated volume: 26.4 Å³/cell
Distance to the lowest polymorph of the same formula: 0.299 eV/atom

***

Entry 6:
The following is a PBE calculation of a geometry-optimized CsYI2 structure, from Alexandria.

The structure in POSCAR format:
```
CsYI2
1.0
4.2855 0.0000 0.0000
2.1427 3.7113 0.0000
2.1427 1.2371 11.7748
I Y Cs
2 1 1
direct
0.1121 0.1121 0.6638
0.8879 0.8879 0.3362
0.5000 0.5000 0.5000
0.0000 0.0000 0.0000
```

Raw formation energy: -0.839 eV/atom
Calculated volume: 187.3 Å³/cell
Distance to the lowest polymorph of the same formula: 0.000 eV/atom

***

Entry 7:
The following is a PBE calculation of a geometry-optimized Ba4AlCd3 structure, from Alexandria.

The structure in POSCAR format:
```
Ba4AlCd3
1.0
5.7878 0.0000 -1.5623
-0.4150 5.7798 -1.5374
-0.5614 -0.6385 9.4221
Cd Ba Al
3 4 1
direct
0.0000 0.5000 0.0000
0.7483 0.2485 0.4966
0.2517 0.7515 0.5034
0.6224 0.6222 0.2448
0.8776 0.8777 0.7552
0.3776 0.3778 0.7552
0.1224 0.1223 0.2448
0.5000 0.0000 0.0000
```

Calculated volume: 304.0 Å³/cell

***

Entry 8:
The following is a PBE calculation of a geometry-optimized Tm2MgTi2Rh5 structure, from Alexandria.

The structure in POSCAR format:
```
Tm2MgTi2Rh5
1.0
-0.5100 3.1180 1.4889
0.0893 -4.3160 9.0690
9.9360 1.3624 0.5505
Rh Tm Ti Mg
10 4 4 2
direct
0.5000 0.7063 0.4342
0.5000 0.2937 0.5658
0.5000 0.0658 0.7937
0.5000 0.7937 0.9342
0.5000 0.0000 0.5000
0.5000 0.4342 0.2937
0.5000 0.5000 0.0000
0.5000 0.9342 0.2063
0.5000 0.2063 0.0658
0.5000 0.5658 0.7063
0.0000 0.3238 0.8238
0.0000 0.1762 0.3238
0.0000 0.6762 0.1762
0.0000 0.8238 0.6762
0.0000 0.3761 0.1239
0.0000 0.6239 0.8761
0.0000 0.1239 0.6239
0.0000 0.8761 0.3761
0.0000 0.0000 0.0000
0.0000 0.5000 0.5000
```

Calculated volume: 352.3 Å³/cell

***

Entry 9:
The following is a PBE calculation of a geometry-optimized DyTm2Ga9 structure, from Alexandria.

The structure in POSCAR format:
```
DyTm2Ga9
1.0
-3.5252 0.8239 2.2235
0.2673 -3.8203 1.8394
7.0626 4.9944 9.3469
Tm Ga Dy
2 9 1
direct
0.0000 0.0000 0.6659
0.0000 0.0000 0.3341
0.0000 0.5000 0.5000
0.5000 0.5000 0.3334
0.5000 0.5000 0.0000
0.5000 0.0000 0.5000
0.5000 0.0000 0.1684
0.5000 0.5000 0.6666
0.5000 0.0000 0.8316
0.0000 0.5000 0.8316
0.0000 0.5000 0.1684
0.0000 0.0000 0.0000
```

Calculated volume: 229.9 Å³/cell

***

Entry 10:
The following is a PBE calculation of a geometry-optimized Pr4Ga3 structure, from Alexandria.

The structure in POSCAR format:
```
Pr4Ga3
1.0
-0.0309 -4.9349 -4.4525
2.6176 -3.5211 7.1919
-7.9604 2.7385 0.3276
Ga Pr
6 8
direct
0.8759 0.3912 0.1208
0.7551 0.8792 0.2705
0.2449 0.1208 0.7295
0.4847 0.7295 0.6088
0.1241 0.6088 0.8792
0.5153 0.2705 0.3912
0.7661 0.1422 0.6797
0.6239 0.5375 0.8578
0.3761 0.4625 0.1422
0.2339 0.8578 0.3203
0.0864 0.3203 0.4625
0.0000 0.0000 0.0000
0.9136 0.6797 0.5375
0.5000 0.0000 0.0000
```

Calculated volume: 380.3 Å³/cell
Distance to the lowest polymorph of the same formula: 0.006 eV/atom

***

Entry 11:
The following is a PBE calculation of a geometry-optimized In2IrF structure, from Alexandria.

The structure in POSCAR format:
```
In2IrF
1.0
0.0000 3.2626 3.2626
3.2626 0.0000 3.2626
3.2626 3.2626 0.0000
In F Ir
2 1 1
direct
0.2500 0.2500 0.2500
0.7500 0.7500 0.7500
0.0000 0.0000 0.0000
0.5000 0.5000 0.5000
```

Raw formation energy: -0.538 eV/atom
Calculated volume: 69.5 Å³/cell
Distance to the lowest polymorph of the same formula: 0.000 eV/atom

***

Entry 12:
The following is a PBE calculation of a geometry-optimized KPIr2 structure, from Alexandria.

The structure in POSCAR format:
```
KPIr2
1.0
2.7923 0.0000 0.0000
0.0000 3.8588 0.0000
0.0000 0.0000 7.2216
Ir K P
2 1 1
direct
0.5000 0.5000 0.1643
0.0000 0.0000 0.9800
0.0000 0.0000 0.5103
0.5000 0.5000 0.8455
```

Calculated volume: 77.8 Å³/cell

***

Entry 13:
The following is a PBE calculation of a geometry-optimized SmScInRu structure, from Alexandria.

The structure in POSCAR format:
```
SmScInRu
1.0
3.3382 0.0000 0.0000
0.0000 3.3382 0.0000
0.0000 0.0000 7.9883
Sm Ru Sc In
1 1 1 1
direct
0.5000 0.5000 0.7780
0.0000 0.0000 0.5427
0.5000 0.5000 0.3670
0.0000 0.0000 0.0970
```

Calculated volume: 89.0 Å³/cell
Distance to the lowest polymorph of the same formula: 0.000 eV/atom

***

Entry 14:
The following is a PBE calculation of a geometry-optimized EuTiAgO4 structure, from Alexandria.

The structure in POSCAR format:
```
EuTiAgO4
1.0
-4.9774 1.5899 0.0106
-1.3107 -4.1232 3.0029
2.3753 7.3620 11.1453
Ag Ti O Eu
4 4 16 4
direct
0.2500 0.4994 0.5717
0.7500 0.5006 0.4283
0.2500 0.9994 0.4283
0.7500 0.0006 0.5717
0.2500 0.9948 0.7348
0.2500 0.4948 0.2652
0.7500 0.5052 0.7348
0.7500 0.0052 0.2652
0.5000 0.7500 0.2312
0.5000 0.2500 0.7688
0.7500 0.5218 0.6022
0.0000 0.2500 0.2194
0.2500 0.5332 0.0650
0.2500 0.0332 0.9350
0.2500 0.4782 0.3978
0.7500 0.4668 0.9350
0.5000 0.7500 0.7806
0.5000 0.2500 0.2194
0.0000 0.7500 0.7806
0.7500 0.9668 0.0650
0.0000 0.7500 0.2312
0.0000 0.2500 0.7688
0.7500 0.0218 0.3978
0.2500 0.9782 0.6022
0.2500 0.4879 0.8970
0.2500 0.9879 0.1030
0.7500 0.0121 0.8970
0.7500 0.5121 0.1030
```

Raw formation energy: -2.261 eV/atom
Calculated volume: 373.3 Å³/cell

***

Entry 15:
The following is a PBE calculation of a geometry-optimized InTcCl2 structure, from Alexandria.

The structure in POSCAR format:
```
InTcCl2
1.0
8.8667 0.0116 0.0069
8.2017 3.3689 0.0069
8.2017 1.6244 2.9514
Cl Tc In
2 1 1
direct
0.0299 0.0299 0.0299
0.2315 0.2315 0.2315
0.7464 0.7464 0.7464
0.4923 0.4923 0.4923
```

Raw formation energy: -0.282 eV/atom
Calculated volume: 87.7 Å³/cell
Distance to the lowest polymorph of the same formula: 0.000 eV/atom

***

Entry 16:
The following is a PBE calculation of a geometry-optimized Sb4C23 structure, from Alexandria.

The structure in POSCAR format:
```
Sb4C23
1.0
7.5785 0.0000 0.0000
0.0000 7.5785 0.0000
0.0000 0.0000 7.5785
C Sb
46 8
direct
0.2500 0.0000 0.5000
0.8128 0.8128 0.1872
0.5000 0.3073 0.7874
0.6927 0.7874 0.5000
0.3128 0.6872 0.3128
0.0000 0.7126 0.1927
0.7500 0.0000 0.5000
0.2874 0.8073 0.0000
0.5000 0.6927 0.2126
0.1927 0.0000 0.2874
0.6872 0.3128 0.3128
0.7126 0.8073 0.0000
0.0000 0.5000 0.7500
0.7874 0.5000 0.3073
0.5000 0.3073 0.2126
0.2126 0.5000 0.3073
0.1927 0.0000 0.7126
0.7874 0.5000 0.6927
0.3128 0.3128 0.3128
0.5000 0.7500 0.0000
0.3128 0.3128 0.6872
0.0000 0.2874 0.8073
0.1872 0.1872 0.8128
0.2874 0.1927 0.0000
0.1872 0.1872 0.1872
0.3073 0.7874 0.5000
0.7126 0.1927 0.0000
0.3128 0.6872 0.6872
0.1872 0.8128 0.1872
0.2126 0.5000 0.6927
0.8073 0.0000 0.7126
0.3073 0.2126 0.5000
0.8128 0.1872 0.1872
0.5000 0.2500 0.0000
0.8073 0.0000 0.2874
0.0000 0.2874 0.1927
0.0000 0.5000 0.2500
0.0000 0.7126 0.8073
0.5000 0.6927 0.7874
0.6927 0.2126 0.5000
0.8128 0.8128 0.8128
0.6872 0.6872 0.6872
0.8128 0.1872 0.8128
0.6872 0.3128 0.6872
0.6872 0.6872 0.3128
0.1872 0.8128 0.8128
0.0000 0.0000 0.0000
0.5000 0.5000 0.5000
0.0000 0.2500 0.5000
0.0000 0.7500 0.5000
0.5000 0.0000 0.7500
0.7500 0.5000 0.0000
0.5000 0.0000 0.2500
0.2500 0.5000 0.0000
```

Raw formation energy: 1.608 eV/atom
Calculated volume: 435.3 Å³/cell

***

Entry 17:
The following is a PBE calculation of a geometry-optimized Ho3Th4Sc2 structure, from Alexandria.

The structure in POSCAR format:
```
Ho3Th4Sc2
1.0
-5.4232 -2.8221 3.0658
4.4086 -5.5972 6.3189
0.9280 3.7043 8.7241
Ho Th Sc
6 8 4
direct
0.7500 0.4829 0.5171
0.2500 0.5171 0.4829
0.8278 0.8297 0.8420
0.1722 0.1703 0.1580
0.6722 0.1580 0.1703
0.3278 0.8420 0.8297
0.9977 0.1793 0.8214
0.0023 0.8207 0.1786
0.5023 0.1786 0.8207
0.3386 0.1677 0.4907
0.6614 0.8323 0.5093
0.4977 0.8214 0.1793
0.8386 0.4907 0.1677
0.1614 0.5093 0.8323
0.8369 0.1423 0.5035
0.1631 0.8577 0.4965
0.6631 0.4965 0.8577
0.3369 0.5035 0.1423
```

Calculated volume: 549.7 Å³/cell

***

Entry 18:
The following is a PBE calculation of a geometry-optimized Ca2La3Cu4AgO12 structure, from Alexandria.

The structure in POSCAR format:
```
Ca2La3Cu4AgO12
1.0
0.3299 3.8716 -9.2995
-2.1654 -7.7693 6.0438
-5.0324 1.8690 0.5996
La Cu Ca O Ag
3 4 2 12 1
direct
0.1794 0.8206 0.0000
0.8261 0.1739 0.0000
0.6778 0.3222 0.5000
0.0866 0.9134 0.5000
0.9092 0.0908 0.5000
0.4089 0.5911 0.0000
0.5844 0.4156 0.0000
0.4923 0.5077 0.5000
0.0017 0.9983 0.0000
0.8342 0.6642 0.2493
0.1957 0.8043 0.5000
0.7056 0.2944 0.0000
0.6800 0.8358 0.2428
0.3358 0.1658 0.7507
0.3358 0.1658 0.2493
0.1642 0.3200 0.7572
0.7963 0.2037 0.5000
0.6800 0.8358 0.7572
0.8342 0.6642 0.7507
0.1642 0.3200 0.2428
0.2970 0.7030 0.0000
0.3108 0.6892 0.5000
```

Raw formation energy: -1.885 eV/atom
Calculated volume: 283.2 Å³/cell

***

Entry 19:
The following is a PBE calculation of a geometry-optimized KSeCl2 structure, from Alexandria.

The structure in POSCAR format:
```
KSeCl2
1.0
5.2281 0.0000 0.0000
0.0000 5.2281 0.0000
0.0000 0.0000 3.5181
Se Cl K
1 2 1
direct
0.0000 0.5000 0.5000
0.5000 0.5000 0.0000
0.0000 0.0000 0.0000
0.5000 0.0000 0.5000
```

Raw formation energy: -0.522 eV/atom
Calculated volume: 96.2 Å³/cell
Distance to the lowest polymorph of the same formula: 0.328 eV/atom

***

Entry 20:
The following is a PBE calculation of a geometry-optimized Er2CoNi structure, from Alexandria.

The structure in POSCAR format:
```
Er2CoNi
1.0
3.8954 0.0000 0.0000
0.0000 5.1699 -1.9325
0.0000 0.0224 7.6569
Er Ni Co
4 2 2
direct
0.7500 0.2161 0.9246
0.2500 0.7839 0.0754
0.2500 0.7858 0.5671
0.7500 0.2142 0.4329
0.2500 0.3612 0.2142
0.7500 0.6388 0.7858
0.2500 0.3636 0.7173
0.7500 0.6364 0.2827
```

Calculated volume: 154.4 Å³/cell

***

no.,DOS(E_F) (states/eV per cell),calculated density (g/cm3),DFT total energy (eV/atom)
1,0.31,7.3,-7.48
2,5.05,10.2,-5.12
3,5.94,5.2,-3.24
4,9.52,3.5,-2.63
5,1.29,8.3,-7.61
6,3.29,4.2,-3.44
7,6.13,5.0,-2.02
8,6.76,9.2,-6.96
9,4.45,8.1,-3.92
10,14.68,6.7,-4.46
11,1.35,10.5,-4.59
12,3.50,9.7,-5.84
13,2.80,7.7,-6.22
14,25.61,6.6,-8.10
15,0.17,5.4,-4.48
16,13.84,5.8,-6.86
17,31.20,9.1,-6.09
18,12.13,6.2,-6.32
19,3.10,3.3,-2.59
20,5.57,9.7,-5.86